This record from Alexandria via LeMat-Bulk describes a geometry-optimized LuTi2Tl structure. The functional is PBE.

a b c (Å): 4.374 4.374 4.357
angles (deg): 90.00 90.00 90.00
Fractional positions:
Lu  0.000  0.000  0.000
Ti  0.000  0.500  0.500
Ti  0.500  0.000  0.500
Tl  0.500  0.500  0.000

formation energy: 0.3 eV per formula unit
space-group type: No. 123
E_tot: -5.593 eV/atom
magnetic moment: 0.01 μB per cell

***

This record from Alexandria via LeMat-Bulk describes a geometry-optimized LuTiTl structure. The functional is PBE.

a b c (Å): 6.454 6.454 6.454
angles (deg): 149.50 149.50 43.67
Fractional positions:
Lu  0.000  0.000  0.000
Ti  0.336  0.336  0.000
Tl  0.685  0.685  0.000

excess energy over the best structure of this formula in the dataset: 0.000 eV/f.u.
formation energy: 0.0 eV per formula unit
space-group type: No. 107
E_tot: -4.944 eV/atom
magnetic moment: 0.00 μB per cell

***

This record from Alexandria via LeMat-Bulk describes a geometry-optimized LuTiTl structure. The functional is PBE.

a b c (Å): 4.992 4.992 3.320
angles (deg): 90.00 90.00 120.00
Fractional positions:
Lu  0.000  0.000  0.000
Ti  0.667  0.333  0.500
Tl  0.333  0.667  0.500

excess energy over the best structure of this formula in the dataset: 0.316 eV/f.u.
formation energy: 0.3 eV per formula unit
space-group type: No. 187
E_tot: -4.838 eV/atom
magnetic moment: 2.11 μB per cell